# 1
VASP calculation (GGA-PBE) on a geometry-optimized CdInAu2 structure.

Calculated density in Mg/m³: 12.3
Space-group type: Pmm2, No. 25
N(E_F) in states/eV per cell: 1.49

a b c (Å): 3.693 3.987 5.678
angles (deg): 90.00 90.00 90.00
Sites, in units of the cell vectors:
Cd (0.000, 0.000, 0.468)
Au (0.000, 0.000, 0.972)
Au (0.500, 0.500, 0.279)
In (0.500, 0.500, 0.781)

# 2
VASP calculation (GGA-PBE) on a geometry-optimized CdInAu2 structure.

Calculated density in Mg/m³: 11.3
Space-group type: P2/m, No. 10
N(E_F) in states/eV per cell: 1.32

a b c (Å): 3.652 6.898 5.717
angles (deg): 39.51 90.00 90.00
Sites, in units of the cell vectors:
Cd (0.500, 0.500, 0.500)
Au (0.000, 0.000, 0.000)
Au (0.500, 0.500, 0.000)
In (0.000, 0.000, 0.500)

# 3
VASP calculation (GGA-PBE) on a geometry-optimized CdInAu4 structure.

Calculated density in Mg/m³: 13.6
Space-group type: F-43m, No. 216
N(E_F) in states/eV per cell: 1.87

a b c (Å): 5.599 5.599 5.599
angles (deg): 60.00 60.00 60.00
Sites, in units of the cell vectors:
Au (0.125, 0.625, 0.625)
Au (0.625, 0.625, 0.625)
Au (0.625, 0.125, 0.625)
Au (0.625, 0.625, 0.125)
Cd (0.250, 0.250, 0.250)
In (0.000, 0.000, 0.000)

# 4
VASP calculation (GGA-PBE) on a geometry-optimized Cd2InAu structure.

Calculated density in Mg/m³: 9.0
Space-group type: I-42d, No. 122
N(E_F) in states/eV per cell: 2.86

a b c (Å): 8.316 8.316 6.534
angles (deg): 50.48 50.48 90.00
Sites, in units of the cell vectors:
Cd (0.657, 0.125, 0.250)
Cd (0.093, 0.625, 0.250)
Cd (0.375, 0.343, 0.750)
Cd (0.875, 0.907, 0.750)
Au (0.000, 0.000, 0.000)
Au (0.750, 0.250, 0.500)
In (0.500, 0.500, 0.000)
In (0.250, 0.750, 0.500)

# 5
VASP calculation (GGA-PBE) on a geometry-optimized Cd2InAu structure.

Calculated density in Mg/m³: 10.1
Space-group type: Cmmm, No. 65
N(E_F) in states/eV per cell: 0.82

a b c (Å): 5.054 5.054 3.685
angles (deg): 90.00 90.00 110.17
Sites, in units of the cell vectors:
Cd (0.000, 0.000, 0.000)
Cd (0.500, 0.500, 0.000)
Au (0.000, 0.500, 0.500)
In (0.500, 0.000, 0.500)

# 6
VASP calculation (GGA-PBE) on a geometry-optimized Cd2InAu structure.

Calculated density in Mg/m³: 10.0
Space-group type: R-3m, No. 166
N(E_F) in states/eV per cell: 0.84

a b c (Å): 9.866 9.866 9.866
angles (deg): 18.97 18.97 18.97
Sites, in units of the cell vectors:
In (0.250, 0.250, 0.250)
Au (0.750, 0.750, 0.750)
Cd (0.007, 0.007, 0.007)
Cd (0.493, 0.493, 0.493)

What did we get for E_form? Answer: -140, -104, -70, -4, -65, -56 meV/atom, in the order shown.
What did we get for final energy? Answer: -0.198, -0.195, -0.211, -0.144, -0.149, -0.148 Ry/atom, in the order shown.